A relaxed ErTmCd17 crystal, computed with GGA-PBE.

The calculation puts the total magnetization at 0.000 μB per atom. As for the density of states at the Fermi level: 16.83 states/eV per cell. For the energy relative to the elements, the calculation gives -78 meV per atom.

The space group is R3m (No. 160, hexagonal axes) and the conventional cell measures 10.0244, 10.0244 and 15.0544 Å, with angles of 90.00, 90.00 and 120.00 degrees. The inequivalent atoms are Er at (0.0000, 0.0000, 0.0000), Tm at (0.0000, 0.0000, 0.6449), Cd at (0.0000, 0.0000, 0.2214), Cd at (0.0000, 0.0000, 0.4113), Cd at (0.0243, 0.3562, 0.9869), Cd at (0.1830, 0.3659, 0.8000), Cd at (0.1861, 0.3721, 0.1608) and Cd at (0.2082, 0.4163, 0.4979).

A relaxed Er3Tm2Cd2 crystal, computed with GGA-PBE.

The calculation puts the total magnetization at 0.000 μB per atom. As for the density of states at the Fermi level: 11.97 states/eV per cell. As for the offset from the most stable computed form: 92.5 meV per atom. For the energy relative to the elements, the calculation gives -54 meV per atom.

The space group is Cmmm (No. 65) and the conventional cell measures 5.047, 22.391 and 3.424 Å, with angles of 90.00, 90.00 and 90.00 degrees. The inequivalent atoms are Er at (0.000, 0.000, 0.000), Er at (0.000, 0.148, 0.000), Tm at (0.000, 0.290, 0.500) and Cd at (0.000, 0.431, 0.500).

A relaxed Er12Tm5Cd2 crystal, computed with GGA-PBE.

The calculation puts the total magnetization at 0.000 μB per atom. As for the density of states at the Fermi level: 56.59 states/eV per cell. For the energy relative to the elements, the calculation gives 51 meV per atom.

The space group is C2/m (No. 12) and the conventional cell measures 15.553, 9.112 and 8.065 Å, with angles of 90.00, 90.35 and 90.00 degrees. The inequivalent atoms are Er at (0.053, 0.000, 0.319), Er at (0.091, 0.500, 0.896), Er at (0.125, 0.197, 0.660), Er at (0.155, 0.314, 0.244), Tm at (0.000, 0.500, 0.500), Tm at (0.194, 0.000, 0.002), Tm at (0.238, 0.500, 0.585) and Cd at (0.000, 0.188, 0.000).

A relaxed Er4Tm2Cd crystal, computed with GGA-PBE.

The calculation puts the total magnetization at 0.000 μB per atom. As for the density of states at the Fermi level: 20.28 states/eV per cell. For the energy relative to the elements, the calculation gives 46 meV per atom.

The space group is C2/m (No. 12) and the conventional cell measures 16.242, 3.450 and 8.368 Å, with angles of 90.00, 117.32 and 90.00 degrees. The inequivalent atoms are Er at (0.081, 0.000, 0.203), Er at (0.132, 0.500, 0.895), Tm at (0.218, 0.000, 0.641) and Cd at (0.000, 0.000, 0.500).

A relaxed Er3Tm2Cd crystal, computed with GGA-PBE.

The calculation puts the total magnetization at 0.021 μB per atom. As for the density of states at the Fermi level: 18.17 states/eV per cell. As for the offset from the most stable computed form: 438.3 meV per atom. For the energy relative to the elements, the calculation gives 352 meV per atom.

The space group is Imm2 (No. 44) and the conventional cell measures 3.308, 9.793 and 11.458 Å, with angles of 90.00, 90.00 and 90.00 degrees. The inequivalent atoms are Er at (0.000, 0.000, 0.000), Er at (0.000, 0.338, 0.968), Tm at (0.000, 0.172, 0.717) and Cd at (0.000, 0.500, 0.733).

A relaxed ErTm2Cd3 crystal, computed with GGA-PBE.

The calculation puts the total magnetization at 0.000 μB per atom. As for the density of states at the Fermi level: 4.76 states/eV per cell. For the energy relative to the elements, the calculation gives -313 meV per atom.

The space group is P4/mmm (No. 123) and the conventional cell measures 3.706, 3.706 and 11.082 Å, with angles of 90.00, 90.00 and 90.00 degrees. The inequivalent atoms are Er at (0.000, 0.000, 0.000), Tm at (0.000, 0.000, 0.334), Cd at (0.500, 0.500, 0.168) and Cd at (0.500, 0.500, 0.500).

A relaxed Er5Tm2Cd crystal, computed with GGA-PBE.

The calculation puts the total magnetization at 0.000 μB per atom. As for the density of states at the Fermi level: 14.89 states/eV per cell. For the energy relative to the elements, the calculation gives 3 meV per atom.

The space group is I4mm (No. 107) and the conventional cell measures 8.027, 8.027 and 7.300 Å, with angles of 90.00, 90.00 and 90.00 degrees. The inequivalent atoms are Er at (0.000, 0.000, 0.000), Er at (0.224, 0.224, 0.314), Tm at (0.000, 0.500, 0.068) and Cd at (0.000, 0.000, 0.578).

A relaxed ErTm2Cd crystal, computed with GGA-PBE.

The calculation puts the total magnetization at 0.000 μB per atom. As for the density of states at the Fermi level: 4.60 states/eV per cell. As for the offset from the most stable computed form: 0.0 meV per atom. For the energy relative to the elements, the calculation gives -143 meV per atom.

The space group is P4/mmm (No. 123) and the conventional cell measures 3.527, 3.527 and 8.987 Å, with angles of 90.00, 90.00 and 90.00 degrees. The inequivalent atoms are Er at (0.000, 0.000, 0.000), Tm at (0.500, 0.500, 0.271) and Cd at (0.000, 0.000, 0.500).

A relaxed ErTm2Cd crystal, computed with GGA-PBE.

The calculation puts the total magnetization at 0.003 μB per atom. As for the density of states at the Fermi level: 21.22 states/eV per cell. As for the offset from the most stable computed form: 141.5 meV per atom. For the energy relative to the elements, the calculation gives -2 meV per atom.

The space group is Fm-3m (No. 225) and the conventional cell measures 7.603, 7.603 and 7.603 Å, with angles of 90.00, 90.00 and 90.00 degrees. The inequivalent atoms are Er at (0.000, 0.000, 0.000), Tm at (0.250, 0.250, 0.250) and Cd at (0.000, 0.000, 0.500).

A relaxed Er2Tm8Cd crystal, computed with GGA-PBE.

The calculation puts the total magnetization at 0.000 μB per atom. As for the density of states at the Fermi level: 31.90 states/eV per cell. For the energy relative to the elements, the calculation gives -15 meV per atom.

The space group is C2/m (No. 12) and the conventional cell measures 19.080, 5.460 and 6.277 Å, with angles of 90.00, 95.35 and 90.00 degrees. The inequivalent atoms are Er at (0.244, 0.000, 0.333), Tm at (0.046, 0.000, 0.266), Tm at (0.078, 0.500, 0.599), Tm at (0.154, 0.000, 0.802), Tm at (0.160, 0.500, 0.126) and Cd at (0.000, 0.500, 0.000).

A relaxed Er3Tm2Cd2 crystal, computed with GGA-PBE.

The calculation puts the total magnetization at 0.000 μB per atom. As for the density of states at the Fermi level: 22.12 states/eV per cell. As for the offset from the most stable computed form: 0.0 meV per atom. For the energy relative to the elements, the calculation gives -146 meV per atom.

The space group is R-3m (No. 166, hexagonal axes) and the conventional cell measures 5.3095, 5.3095 and 23.5646 Å, with angles of 90.00, 90.00 and 120.00 degrees. The inequivalent atoms are Er at (0.0000, 0.0000, 0.0000), Er at (0.0000, 0.0000, 0.1563), Tm at (0.0000, 0.0000, 0.4262) and Cd at (0.0000, 0.0000, 0.2884).

A relaxed Er2Tm3Cd2 crystal, computed with GGA-PBE.

The calculation puts the total magnetization at 0.000 μB per atom. As for the density of states at the Fermi level: 23.43 states/eV per cell. As for the offset from the most stable computed form: 0.0 meV per atom. For the energy relative to the elements, the calculation gives -145 meV per atom.

The space group is R-3m (No. 166, hexagonal axes) and the conventional cell measures 5.3047, 5.3047 and 23.5684 Å, with angles of 90.00, 90.00 and 120.00 degrees. The inequivalent atoms are Er at (0.0000, 0.0000, 0.0741), Tm at (0.0000, 0.0000, 0.3440), Tm at (0.0000, 0.0000, 0.5000) and Cd at (0.0000, 0.0000, 0.2120).